# 1
# MoSeCl7O | Alexandria | GGA-PBEsol | optimized geometry
# Electronic total energy: -4.25 eV/atom
# Energy relative to the elements, uncorrected: -0.76 eV per atom
data_MoSeCl7O
_space_group_name_H-M_alt 'P -1'
_space_group_IT_number 2
_cell_length_a 7.1253
_cell_length_b 8.7332
_cell_length_c 9.9140
_cell_angle_alpha 89.11
_cell_angle_beta 70.93
_cell_angle_gamma 71.31
loop_
_space_group_symop_operation_xyz
'x,y,z'
'-x,-y,-z'
loop_
_atom_site_label
_atom_site_type_symbol
_atom_site_fract_x
_atom_site_fract_y
_atom_site_fract_z
_atom_site_occupancy
Mo1 Mo 0.1879 0.1703 0.0996 1
Se1 Se 0.4629 0.7575 0.2820 1
Cl1 Cl 0.1281 0.9331 0.1972 1
Cl2 Cl 0.1479 0.2730 0.3228 1
Cl3 Cl 0.2350 0.3679 0.6890 1
Cl4 Cl 0.3026 0.8931 0.4964 1
Cl5 Cl 0.3338 0.5579 0.3192 1
Cl6 Cl 0.3626 0.3543 0.0015 1
Cl7 Cl 0.3860 0.0037 0.8756 1
O1 O 0.0421 0.7415 0.9196 1


# 2
# KSi2Cl | Alexandria | GGA-PBEsol | optimized geometry
# Electronic total energy: -3.48 eV/atom
# DOS(E_F): 1.984 states/eV per cell
# Offset from the most stable computed form: 0.5575 eV per atom
# Energy relative to the elements, uncorrected: 0.18 eV per atom
data_KSi2Cl
_space_group_name_H-M_alt 'P m m m'
_space_group_IT_number 47
_cell_length_a 2.7724
_cell_length_b 5.3143
_cell_length_c 6.4367
_cell_angle_alpha 90.00
_cell_angle_beta 90.00
_cell_angle_gamma 90.00
loop_
_space_group_symop_operation_xyz
'x,y,z'
'-x,-y,-z'
'-x,-y,z'
'x,y,-z'
'x,-y,-z'
'-x,y,z'
'-x,y,-z'
'x,-y,z'
loop_
_atom_site_label
_atom_site_type_symbol
_atom_site_fract_x
_atom_site_fract_y
_atom_site_fract_z
_atom_site_occupancy
K1 K 0.0000 0.0000 0.0000 1
Si1 Si 0.5000 0.2267 0.5000 1
Cl1 Cl 0.0000 0.5000 0.0000 1


# 3
# MnBr2O | Alexandria | GGA-PBEsol | optimized geometry
# Electronic total energy: -4.54 eV/atom
# DOS(E_F): 5.392 states/eV per cell
# Energy relative to the elements, uncorrected: 0.14 eV per atom
data_MnBr2O
_space_group_name_H-M_alt 'R -3 m'
_space_group_IT_number 166
_space_group_name_Hall '-R 3 2"'
_cell_length_a 3.8194
_cell_length_b 3.8194
_cell_length_c 20.8515
_cell_angle_alpha 90.00
_cell_angle_beta 90.00
_cell_angle_gamma 120.00
loop_
_atom_site_label
_atom_site_type_symbol
_atom_site_fract_x
_atom_site_fract_y
_atom_site_fract_z
_atom_site_occupancy
Mn1 Mn 0.0000 0.0000 0.0000 1
Br1 Br 0.0000 0.0000 0.4034 1
O1 O 0.0000 0.0000 0.5000 1